Entry 1:
Computed, not measured: crystalline Pr3Dy4Tl at its relaxed geometry at the PBE level of DFT. Values from VASP.

Output
The density of states at the Fermi level is 1.0700 states/eV/atom. As for the theoretical density: 8.27 Mg/m³. The value obtained for the excess energy over the best structure of this formula in the dataset is 5 meV/atom. Its space group is Pmn2_1, No. 31. The total energy is -71.426 eV for the cell shown. Its energy relative to the elements is -75 meV per atom.

Structure (Quantum ESPRESSO input):
```
&SYSTEM
  ibrav = 0, nat = 16, ntyp = 3
/
ATOMIC_SPECIES
Pr 140.91 Pr.upf
Dy 162.50 Dy.upf
Tl 204.38 Tl.upf
ATOMIC_POSITIONS crystal
Pr 0.154 0.616 0.764
Pr 0.506 0.629 0.000
Pr 0.006 0.371 0.500
Pr 0.654 0.384 0.736
Pr 0.154 0.616 0.236
Pr 0.654 0.384 0.264
Dy 0.483 0.128 0.000
Dy 0.641 0.877 0.739
Dy 0.983 0.872 0.500
Dy 0.141 0.123 0.761
Dy 0.461 0.116 0.500
Dy 0.141 0.123 0.239
Dy 0.641 0.877 0.261
Dy 0.961 0.884 0.000
Tl 0.474 0.642 0.500
Tl 0.974 0.358 0.000
CELL_PARAMETERS angstrom
-3.088 -0.998 -5.389
-5.639 -2.459 3.686
-4.267 10.529 0.496
```

Entry 2:
Computed, not measured: crystalline Pr4Dy2Tl at its relaxed geometry at the PBE level of DFT. Values from VASP.

Output
The density of states at the Fermi level is 1.3299 states/eV/atom. As for the theoretical density: 7.41 Mg/m³. Its space group is Cmmm, No. 65. The total energy is -27.904 eV for the cell shown. Its energy relative to the elements is 398 meV per atom.

Structure (Quantum ESPRESSO input):
```
&SYSTEM
  ibrav = 0, nat = 7, ntyp = 3
/
ATOMIC_SPECIES
Dy 162.50 Dy.upf
Pr 140.91 Pr.upf
Tl 204.38 Tl.upf
ATOMIC_POSITIONS crystal
Dy 0.500 0.118 0.236
Dy 0.500 0.882 0.764
Pr 0.500 0.634 0.268
Pr 0.500 0.366 0.732
Pr 0.000 0.166 0.333
Pr 0.000 0.834 0.667
Tl 0.000 0.500 0.000
CELL_PARAMETERS angstrom
-3.751 4.876 0.374
-4.953 -3.834 0.319
2.966 1.809 6.157
```

Entry 3:
Computed, not measured: crystalline Pr8DyTl2 at its relaxed geometry at the PBE level of DFT. Values from VASP.

Output
The density of states at the Fermi level is 1.6663 states/eV/atom. As for the theoretical density: 7.57 Mg/m³. Its space group is C2/m, No. 12. The total energy is -48.126 eV for the cell shown. Its energy relative to the elements is -51 meV per atom.

Structure (Quantum ESPRESSO input):
```
&SYSTEM
  ibrav = 0, nat = 11, ntyp = 3
/
ATOMIC_SPECIES
Pr 140.91 Pr.upf
Tl 204.38 Tl.upf
Dy 162.50 Dy.upf
ATOMIC_POSITIONS crystal
Pr 0.331 0.126 0.126
Pr 0.775 0.914 0.435
Pr 0.225 0.086 0.565
Pr 0.669 0.874 0.874
Pr 0.268 0.493 0.493
Pr 0.225 0.565 0.086
Pr 0.732 0.507 0.507
Pr 0.775 0.435 0.914
Tl 0.749 0.323 0.323
Tl 0.251 0.677 0.677
Dy 0.000 0.000 0.000
CELL_PARAMETERS angstrom
-4.883 -2.167 3.304
2.512 -5.881 7.938
1.145 0.519 10.116
```